# 1
This record from the Open Quantum Materials Database describes an optimized crystal structure of TaFeHg2. The functional is GGA-PBE.

Lattice parameters (Å, degrees): 4.6652 4.6652 4.6652 60.00 60.00 60.00
Closest atoms and distances in Å follow each position.
Fractional coordinates of all 4 atoms:
Ta: 0.0000 0.0000 0.0000  4 Hg 2.86, 4 Fe 2.86
Fe: 0.2500 0.2500 0.2500  4 Hg 2.86, 4 Ta 2.86
Hg: 0.5000 0.5000 0.5000  4 Hg 2.86, 4 Fe 2.86
Hg: 0.7500 0.7500 0.7500  4 Hg 2.86, 4 Ta 2.86

Output
energy of formation from the pure elements = 0.589 eV/atom

=====

# 2
This record from the Open Quantum Materials Database describes an optimized crystal structure of TaZnFeHg. The functional is GGA-PBE.

Lattice parameters (Å, degrees): 4.5169 4.5169 4.5169 60.00 60.00 60.00
Closest atoms and distances in Å follow each position.
Fractional coordinates of all 4 atoms:
Ta: 0.0000 0.0000 0.0000  4 Fe 2.77, 4 Hg 2.77
Zn: 0.5000 0.5000 0.5000  4 Fe 2.77, 4 Hg 2.77
Fe: 0.7500 0.7500 0.7500  4 Ta 2.77, 4 Zn 2.77
Hg: 0.2500 0.2500 0.2500  4 Ta 2.77, 4 Zn 2.77

Output
energy of formation from the pure elements = 0.381 eV/atom
energy relative to the lowest polymorph listed for this composition = 0 meV per atom

=====

# 3
This record from the Open Quantum Materials Database describes an optimized crystal structure of TaZnFeHg. The functional is GGA-PBE.

Lattice parameters (Å, degrees): 4.5149 4.5149 4.5149 60.00 60.00 60.00
Closest atoms and distances in Å follow each position.
Fractional coordinates of all 4 atoms:
Ta: 0.0000 0.0000 0.0000  4 Hg 2.76, 4 Zn 2.76
Zn: 0.2500 0.2500 0.2500  4 Ta 2.76, 4 Fe 2.76
Fe: 0.5000 0.5000 0.5000  4 Hg 2.76, 4 Zn 2.76
Hg: 0.7500 0.7500 0.7500  4 Ta 2.76, 4 Fe 2.76

Output
energy of formation from the pure elements = 0.469 eV/atom
energy relative to the lowest polymorph listed for this composition = 88 meV per atom

=====

# 4
This record from the Open Quantum Materials Database describes an optimized crystal structure of TlFeTcHg. The functional is GGA-PBE.

Lattice parameters (Å, degrees): 4.6323 4.6323 4.6323 60.00 60.00 60.00
Closest atoms and distances in Å follow each position.
Fractional coordinates of all 4 atoms:
Tl: 0.0000 0.0000 0.0000  4 Fe 2.84, 4 Tc 2.84
Fe: 0.2500 0.2500 0.2500  4 Hg 2.84, 4 Tl 2.84
Tc: 0.7500 0.7500 0.7500  4 Hg 2.84, 4 Tl 2.84
Hg: 0.5000 0.5000 0.5000  4 Fe 2.84, 4 Tc 2.84

Output
energy relative to the lowest polymorph listed for this composition = 0 meV per atom

=====

# 5
This record from the Open Quantum Materials Database describes an optimized crystal structure of ZnFeTcHg. The functional is GGA-PBE.

Lattice parameters (Å, degrees): 4.4495 4.4495 4.4495 60.00 60.00 60.00
Closest atoms and distances in Å follow each position.
Fractional coordinates of all 4 atoms:
Zn: 0.0000 0.0000 0.0000  4 Hg 2.72, 4 Fe 2.72
Fe: 0.2500 0.2500 0.2500  4 Tc 2.72, 4 Zn 2.72
Tc: 0.5000 0.5000 0.5000  4 Hg 2.72, 4 Fe 2.72
Hg: 0.7500 0.7500 0.7500  4 Tc 2.72, 4 Zn 2.72

Output
energy of formation from the pure elements = 0.508 eV/atom
energy relative to the lowest polymorph listed for this composition = 0 meV per atom

=====

# 6
This record from the Open Quantum Materials Database describes an optimized crystal structure of ZnFeTcHg. The functional is GGA-PBE.

Lattice parameters (Å, degrees): 4.4547 4.4547 4.4547 60.00 60.00 60.00
Closest atoms and distances in Å follow each position.
Fractional coordinates of all 4 atoms:
Zn: 0.0000 0.0000 0.0000  4 Fe 2.73, 4 Tc 2.73
Fe: 0.2500 0.2500 0.2500  4 Hg 2.73, 4 Zn 2.73
Tc: 0.7500 0.7500 0.7500  4 Hg 2.73, 4 Zn 2.73
Hg: 0.5000 0.5000 0.5000  4 Fe 2.73, 4 Tc 2.73

Output
energy of formation from the pure elements = 0.520 eV/atom
energy relative to the lowest polymorph listed for this composition = 12 meV per atom

=====

# 7
This record from the Open Quantum Materials Database describes an optimized crystal structure of FeHgTe. The functional is GGA-PBE.

Lattice parameters (Å, degrees): 4.5732 4.5732 4.5732 60.00 60.00 60.00
Closest atoms and distances in Å follow each position.
Fractional coordinates of all 3 atoms:
Fe: 0.0000 0.0000 0.0000  4 Te 2.80, 4 Hg 2.80
Hg: 0.7500 0.7500 0.7500  4 Fe 2.80
Te: 0.2500 0.2500 0.2500  4 Fe 2.80

Output
energy relative to the lowest polymorph listed for this composition = 0 meV per atom

=====

# 8
This record from the Open Quantum Materials Database describes an optimized crystal structure of ThFeHg. The functional is GGA-PBE.

Lattice parameters (Å, degrees): 4.6326 4.6326 4.6326 60.00 60.00 60.00
Closest atoms and distances in Å follow each position.
Fractional coordinates of all 3 atoms:
Th: 0.0000 0.0000 0.0000  4 Fe 2.84
Fe: 0.2500 0.2500 0.2500  4 Hg 2.84, 4 Th 2.84
Hg: 0.5000 0.5000 0.5000  4 Fe 2.84

Output
energy of formation from the pure elements = 0.186 eV/atom

=====

# 9
This record from the Open Quantum Materials Database describes an optimized crystal structure of TlFeHgW. The functional is GGA-PBE.

Lattice parameters (Å, degrees): 4.6359 4.6359 4.6359 60.00 60.00 60.00
Closest atoms and distances in Å follow each position.
Fractional coordinates of all 4 atoms:
Tl: 0.0000 0.0000 0.0000  4 Hg 2.84, 4 Fe 2.84
Fe: 0.2500 0.2500 0.2500  4 W 2.84, 4 Tl 2.84
Hg: 0.7500 0.7500 0.7500  4 Tl 2.84, 4 W 2.84
W: 0.5000 0.5000 0.5000  4 Hg 2.84, 4 Fe 2.84

Output
energy relative to the lowest polymorph listed for this composition = 50 meV per atom

=====

# 10
This record from the Open Quantum Materials Database describes an optimized crystal structure of TlFeHgW. The functional is GGA-PBE.

Lattice parameters (Å, degrees): 4.6813 4.6813 4.6813 60.00 60.00 60.00
Closest atoms and distances in Å follow each position.
Fractional coordinates of all 4 atoms:
Tl: 0.0000 0.0000 0.0000  4 W 2.87, 4 Fe 2.87
Fe: 0.2500 0.2500 0.2500  4 Hg 2.87, 4 Tl 2.87
Hg: 0.5000 0.5000 0.5000  4 Fe 2.87, 4 W 2.87
W: 0.7500 0.7500 0.7500  4 Hg 2.87, 4 Tl 2.87

Output
energy relative to the lowest polymorph listed for this composition = 0 meV per atom

=====

# 11
This record from the Open Quantum Materials Database describes an optimized crystal structure of YTlFeHg. The functional is GGA-PBE.

Lattice parameters (Å, degrees): 5.0043 5.0043 5.0043 60.00 60.00 60.00
Closest atoms and distances in Å follow each position.
Fractional coordinates of all 4 atoms:
Y: 0.0000 0.0000 0.0000  4 Hg 3.06, 4 Fe 3.06
Tl: 0.5000 0.5000 0.5000  4 Fe 3.06, 4 Hg 3.06
Fe: 0.7500 0.7500 0.7500  4 Tl 3.06, 4 Y 3.06
Hg: 0.2500 0.2500 0.2500  4 Tl 3.06, 4 Y 3.06

Output
energy relative to the lowest polymorph listed for this composition = 99 meV per atom

=====

# 12
This record from the Open Quantum Materials Database describes an optimized crystal structure of YTlFeHg. The functional is GGA-PBE.

Lattice parameters (Å, degrees): 4.9840 4.9840 4.9840 60.00 60.00 60.00
Closest atoms and distances in Å follow each position.
Fractional coordinates of all 4 atoms:
Y: 0.0000 0.0000 0.0000  4 Tl 3.05, 4 Hg 3.05
Tl: 0.2500 0.2500 0.2500  4 Fe 3.05, 4 Y 3.05
Fe: 0.5000 0.5000 0.5000  4 Hg 3.05, 4 Tl 3.05
Hg: 0.7500 0.7500 0.7500  4 Fe 3.05, 4 Y 3.05

Output
energy relative to the lowest polymorph listed for this composition = 0 meV per atom